The following is a DFT calculation (PBE) of a relaxed structure of LiMnI2.

Results
The calculation puts the density of states at the Fermi level at 0.66 states/eV per atom. For the uncorrected formation energy, the calculation gives -0.3238 eV per atom. For the polymorph energy (0 for the lowest one), the calculation gives 35 meV per atom.

abc: 4.163 4.163 7.316
angles: 73.47 73.47 60.00
Sites, in units of the cell vectors:
Li 0.000 0.000 0.000
I 0.248 0.248 0.256
I 0.752 0.752 0.744
Mn 0.500 0.500 0.500

The following is a DFT calculation (PBE) of a relaxed structure of GaSiPd2.

Results
The calculation puts the density of states at the Fermi level at 0.51 states/eV per atom. For the uncorrected formation energy, the calculation gives -0.4495 eV per atom.

abc: 3.991 3.991 5.227
angles: 67.56 67.56 60.00
Sites, in units of the cell vectors:
Pd 0.270 0.270 0.191
Pd 0.066 0.066 0.803
Si 0.673 0.673 0.981
Ga 0.492 0.492 0.525

The following is a DFT calculation (PBE) of a relaxed structure of Pm8Y3Tm2.

Results
The calculation puts the density of states at the Fermi level at 1.60 states/eV per atom. For the polymorph energy (0 for the lowest one), the calculation gives 0 meV per atom.

abc: 12.003 6.155 6.779
angles: 116.06 87.12 104.20
Sites, in units of the cell vectors:
Pm 0.802 0.148 0.831
Pm 0.198 0.852 0.169
Pm 0.116 0.227 0.686
Pm 0.735 0.252 0.376
Pm 0.672 0.615 0.912
Pm 0.884 0.773 0.314
Pm 0.265 0.748 0.624
Pm 0.328 0.385 0.088
Y 0.500 0.000 0.000
Y 0.034 0.309 0.226
Y 0.966 0.691 0.774
Tm 0.428 0.268 0.565
Tm 0.572 0.732 0.435

The following is a DFT calculation (PBE) of a relaxed structure of RhSe2SBr.

Results
The calculation puts the density of states at the Fermi level at 1.14 states/eV per atom. For the uncorrected formation energy, the calculation gives 0.6175 eV per atom. For the polymorph energy (0 for the lowest one), the calculation gives 0 meV per atom.

abc: 4.856 4.856 4.985
angles: 90.00 90.00 90.00
Sites, in units of the cell vectors:
Br 0.000 0.000 0.500
S 0.500 0.500 0.500
Se 0.500 0.000 0.000
Se 0.000 0.500 0.000
Rh 0.000 0.000 0.000

The following is a DFT calculation (PBE) of a relaxed structure of CaPN2.

Results
The calculation puts the density of states at the Fermi level at 0.21 states/eV per atom. For the uncorrected formation energy, the calculation gives -0.4054 eV per atom.

abc: 5.426 5.426 4.932
angles: 56.63 56.63 90.00
Sites, in units of the cell vectors:
N 0.875 0.753 0.750
N 0.247 0.625 0.250
N 0.503 0.125 0.250
N 0.375 0.497 0.750
P 0.250 0.750 0.500
P 0.500 0.500 0.000
Ca 0.750 0.250 0.500
Ca 0.000 0.000 0.000

The following is a DFT calculation (PBE) of a relaxed structure of Ce2In2Ru3.

Results
The calculation puts the density of states at the Fermi level at 0.71 states/eV per atom.

abc: 5.264 7.489 4.735
angles: 71.57 89.99 117.00
Sites, in units of the cell vectors:
Ce 0.482 0.712 0.144
Ce 0.518 0.288 0.856
Ru 0.980 0.586 0.207
Ru 0.020 0.414 0.793
Ru 0.000 0.000 0.000
In 0.143 0.857 0.571
In 0.857 0.143 0.429

The following is a DFT calculation (PBE) of a relaxed structure of CeThMn.

Results
The calculation puts the density of states at the Fermi level at 0.96 states/eV per atom. For the polymorph energy (0 for the lowest one), the calculation gives 122 meV per atom.

abc: 4.866 4.110 4.110
angles: 120.00 90.00 90.00
Sites, in units of the cell vectors:
Ce 0.167 0.000 0.000
Mn 0.167 0.333 0.667
Th 0.667 0.667 0.333

The following is a DFT calculation (PBE) of a relaxed structure of HRhO2.

Results
The calculation puts the density of states at the Fermi level at 0.00 states/eV per atom.

abc: 5.600 4.093 4.093
angles: 81.12 109.94 70.06
Sites, in units of the cell vectors:
H 0.250 0.955 0.455
H 0.750 0.045 0.545
O 0.684 0.351 0.357
O 0.184 0.143 0.149
O 0.816 0.857 0.851
O 0.316 0.649 0.643
Rh 0.250 0.608 0.108
Rh 0.750 0.392 0.892

The following is a DFT calculation (PBE) of a relaxed structure of Cs2TcN.

Results
The calculation puts the density of states at the Fermi level at 1.22 states/eV per atom. For the uncorrected formation energy, the calculation gives 2.1677 eV per atom.

abc: 5.257 5.257 5.257
angles: 60.00 60.00 60.00
Sites, in units of the cell vectors:
Cs 0.750 0.750 0.750
Cs 0.250 0.250 0.250
N 0.000 0.000 0.000
Tc 0.500 0.500 0.500

The following is a DFT calculation (PBE) of a relaxed structure of PrTmIn.

Results
The calculation puts the density of states at the Fermi level at 0.63 states/eV per atom. For the polymorph energy (0 for the lowest one), the calculation gives 95 meV per atom.

abc: 3.763 5.278 5.278
angles: 120.00 90.00 90.00
Sites, in units of the cell vectors:
Tm 0.890 0.000 0.000
In 0.760 0.667 0.333
Pr 0.350 0.333 0.667

The following is a DFT calculation (PBE) of a relaxed structure of GaReB3.

Results
The calculation puts the density of states at the Fermi level at 1.02 states/eV per atom. For the polymorph energy (0 for the lowest one), the calculation gives 1354 meV per atom.

abc: 3.914 3.914 3.914
angles: 90.00 90.00 90.00
Sites, in units of the cell vectors:
B 0.500 0.000 0.000
B 0.000 0.500 0.000
B 0.000 0.000 0.500
Re 0.500 0.500 0.500
Ga 0.000 0.000 0.000

The following is a DFT calculation (PBE) of a relaxed structure of Al2InAg.

Results
The calculation puts the density of states at the Fermi level at 0.30 states/eV per atom.

abc: 5.904 5.904 5.904
angles: 151.26 125.65 62.64
Sites, in units of the cell vectors:
Al 0.003 0.003 0.000
Al 0.767 0.267 0.500
Ag 0.232 0.732 0.500
In 0.497 0.497 0.000

no.,final energy (hartree per atom),magnetization (μB per atom)
1,-0.14221,1.062
2,-0.18957,0.000
3,-0.18501,0.000
4,-0.12519,0.000
5,-0.23597,0.000
6,-0.25107,0.000
7,-0.26999,0.000
8,-0.21236,0.000
9,-0.10775,1.300
10,-0.15556,0.000
11,-0.17494,0.000
12,-0.11506,0.000